The following is a DFT calculation (PBE) of a relaxed Tb6HoEr2Th crystal.

## Properties
As for the energy relative to the elements: 0.1489 eV per atom. The size of the total moment comes out at 0.00 μB per formula unit.

Structure (CIF):
```
data_Tb6HoEr2Th
_chemical_formula_sum 'Tb24 Ho4 Er8 Th4'
_cell_length_a 9.288
_cell_length_b 14.902
_cell_length_c 9.329
_cell_angle_alpha 90.00
_cell_angle_beta 95.14
_cell_angle_gamma 90.00
_space_group_name_H-M_alt 'C 1 2/c 1'
_space_group_IT_number 15
_space_group_name_Hall '-C 2yc'
loop_
_atom_site_label
_atom_site_type_symbol
_atom_site_fract_x
_atom_site_fract_y
_atom_site_fract_z
Tb1 Tb 0.058 0.175 0.441
Tb2 Tb 0.095 0.386 0.612
Tb3 Tb 0.211 0.221 0.814
Ho1 Ho 0.000 0.412 0.250
Er1 Er 0.247 0.449 0.946
Th1 Th 0.000 0.034 0.750
```

***

The following is a DFT calculation (PBE) of a relaxed La2Be4Ge3Ir crystal.

## Properties
As for the energy relative to the elements: -0.4761 eV per atom. The size of the total moment comes out at 0.00 μB per formula unit.

Structure (CIF):
```
data_La2Be4Ge3Ir
_chemical_formula_sum 'La2 Be4 Ge3 Ir1'
_cell_length_a 4.065
_cell_length_b 4.065
_cell_length_c 9.970
_cell_angle_alpha 90.00
_cell_angle_beta 90.00
_cell_angle_gamma 90.00
_space_group_name_H-M_alt 'P -4 m 2'
_space_group_IT_number 115
_space_group_name_Hall 'P -4 -2'
loop_
_atom_site_label
_atom_site_type_symbol
_atom_site_fract_x
_atom_site_fract_y
_atom_site_fract_z
La1 La 0.000 0.500 0.248
Be1 Be 0.000 0.000 0.000
Be2 Be 0.000 0.500 0.622
Be3 Be 0.500 0.500 0.000
Ge1 Ge 0.000 0.500 0.871
Ge2 Ge 0.500 0.500 0.500
Ir1 Ir 0.000 0.000 0.500
```

***

The following is a DFT calculation (PBE) of a relaxed Sm2Pd3Au crystal.

## Properties
As for the energy relative to the elements: -0.7878 eV per atom. As for the relative energy among the computed polymorphs: 0 meV/atom. The size of the total moment comes out at 0.00 μB per formula unit.

Structure (CIF):
```
data_Sm2Pd3Au
_chemical_formula_sum 'Sm8 Pd12 Au4'
_cell_length_a 7.342
_cell_length_b 3.929
_cell_length_c 17.539
_cell_angle_alpha 90.00
_cell_angle_beta 90.00
_cell_angle_gamma 90.00
_space_group_name_H-M_alt 'P n m a'
_space_group_IT_number 62
_space_group_name_Hall '-P 2ac 2n'
loop_
_atom_site_label
_atom_site_type_symbol
_atom_site_fract_x
_atom_site_fract_y
_atom_site_fract_z
Sm1 Sm 0.092 0.250 0.205
Sm2 Sm 0.167 0.250 0.429
Pd1 Pd 0.094 0.250 0.654
Pd2 Pd 0.222 0.250 0.805
Pd3 Pd 0.225 0.750 0.551
Au1 Au 0.006 0.750 0.066
```

***

The following is a DFT calculation (PBE) of a relaxed Tb2PmDyEr2 crystal.

## Properties
As for the energy relative to the elements: 0.2771 eV per atom. The size of the total moment comes out at 0.00 μB per formula unit.

Structure (CIF):
```
data_Tb2PmDyEr2
_chemical_formula_sum 'Tb4 Pm2 Dy2 Er4'
_cell_length_a 6.523
_cell_length_b 17.769
_cell_length_c 3.387
_cell_angle_alpha 90.00
_cell_angle_beta 90.00
_cell_angle_gamma 90.00
_space_group_name_H-M_alt 'P n n m'
_space_group_IT_number 58
_space_group_name_Hall '-P 2 2n'
loop_
_atom_site_label
_atom_site_type_symbol
_atom_site_fract_x
_atom_site_fract_y
_atom_site_fract_z
Tb1 Tb 0.225 0.186 0.000
Pm1 Pm 0.000 0.000 0.000
Dy1 Dy 0.000 0.500 0.000
Er1 Er 0.222 0.352 0.500
```

***

The following is a DFT calculation (PBE) of a relaxed AlPbSe3 crystal.

## Properties
The uncorrected formation energy comes out at 494 meV per atom. As for the relative energy among the computed polymorphs: 985 meV/atom. The size of the total moment comes out at 0.00 μB per formula unit.

Structure (CIF):
```
data_AlPbSe3
_chemical_formula_sum 'Al1 Pb1 Se3'
_cell_length_a 5.458
_cell_length_b 5.458
_cell_length_c 5.458
_cell_angle_alpha 90.00
_cell_angle_beta 90.00
_cell_angle_gamma 90.00
_space_group_name_H-M_alt 'P m -3 m'
_space_group_IT_number 221
_space_group_name_Hall '-P 4 2 3'
loop_
_atom_site_label
_atom_site_type_symbol
_atom_site_fract_x
_atom_site_fract_y
_atom_site_fract_z
Al1 Al 0.000 0.000 0.000
Pb1 Pb 0.500 0.500 0.500
Se1 Se 0.000 0.500 0.500
```

***

The following is a DFT calculation (PBE) of a relaxed IrPb crystal.

## Properties
As for the energy relative to the elements: 0.6015 eV per atom. The size of the total moment comes out at 0.00 μB per formula unit.

Structure (CIF):
```
data_IrPb
_chemical_formula_sum 'Ir1 Pb1'
_cell_length_a 3.3534
_cell_length_b 3.3534
_cell_length_c 4.1524
_cell_angle_alpha 90.00
_cell_angle_beta 90.00
_cell_angle_gamma 120.00
_space_group_name_H-M_alt 'P -6 m 2'
_space_group_IT_number 187
_space_group_name_Hall 'P -6 2'
loop_
_atom_site_label
_atom_site_type_symbol
_atom_site_fract_x
_atom_site_fract_y
_atom_site_fract_z
Ir1 Ir 0.0000 0.0000 0.0000
Pb1 Pb 0.6667 0.3333 0.5000
```

***

The following is a DFT calculation (PBE) of a relaxed Ca4SnTe5 crystal.

## Properties
The uncorrected formation energy comes out at -1371 meV per atom. The size of the total moment comes out at 0.00 μB per formula unit.

Structure (CIF):
```
data_Ca4SnTe5
_chemical_formula_sum 'Ca8 Sn2 Te10'
_cell_length_a 4.523
_cell_length_b 4.523
_cell_length_c 32.091
_cell_angle_alpha 90.00
_cell_angle_beta 90.00
_cell_angle_gamma 90.00
_space_group_name_H-M_alt 'I 4/m m m'
_space_group_IT_number 139
_space_group_name_Hall '-I 4 2'
loop_
_atom_site_label
_atom_site_type_symbol
_atom_site_fract_x
_atom_site_fract_y
_atom_site_fract_z
Ca1 Ca 0.000 0.000 0.100
Ca2 Ca 0.000 0.000 0.300
Sn1 Sn 0.000 0.000 0.500
Te1 Te 0.000 0.000 0.000
Te2 Te 0.000 0.000 0.200
Te3 Te 0.000 0.000 0.400
```

***

The following is a DFT calculation (PBE) of a relaxed Li2GaI crystal.

## Properties
The uncorrected formation energy comes out at -180 meV per atom. As for the relative energy among the computed polymorphs: 134 meV/atom. The size of the total moment comes out at 0.00 μB per formula unit.

Structure (CIF):
```
data_Li2GaI
_chemical_formula_sum 'Li8 Ga4 I4'
_cell_length_a 7.195
_cell_length_b 7.195
_cell_length_c 7.195
_cell_angle_alpha 90.00
_cell_angle_beta 90.00
_cell_angle_gamma 90.00
_space_group_name_H-M_alt 'F m -3 m'
_space_group_IT_number 225
_space_group_name_Hall '-F 4 2 3'
loop_
_atom_site_label
_atom_site_type_symbol
_atom_site_fract_x
_atom_site_fract_y
_atom_site_fract_z
Li1 Li 0.250 0.250 0.250
Ga1 Ga 0.000 0.000 0.000
I1 I 0.000 0.000 0.500
```

***

The following is a DFT calculation (PBE) of a relaxed Ba2Sn2Pt crystal.

## Properties
As for the energy relative to the elements: -0.5496 eV per atom. As for the relative energy among the computed polymorphs: 176 meV/atom. The size of the total moment comes out at 0.00 μB per formula unit.

Structure (CIF):
```
data_Ba2Sn2Pt
_chemical_formula_sum 'Ba4 Sn4 Pt2'
_cell_length_a 7.446
_cell_length_b 7.446
_cell_length_c 5.586
_cell_angle_alpha 90.00
_cell_angle_beta 90.00
_cell_angle_gamma 90.00
_space_group_name_H-M_alt 'P 4/m b m'
_space_group_IT_number 127
_space_group_name_Hall '-P 4 2ab'
loop_
_atom_site_label
_atom_site_type_symbol
_atom_site_fract_x
_atom_site_fract_y
_atom_site_fract_z
Ba1 Ba 0.166 0.334 0.000
Sn1 Sn 0.145 0.645 0.500
Pt1 Pt 0.000 0.000 0.500
```

***

The following is a DFT calculation (PBE) of a relaxed Mg2TaSb crystal.

## Properties
The uncorrected formation energy comes out at 539 meV per atom. The size of the total moment comes out at 0.00 μB per formula unit.

Structure (CIF):
```
data_Mg2TaSb
_chemical_formula_sum 'Mg8 Ta4 Sb4'
_cell_length_a 8.057
_cell_length_b 8.057
_cell_length_c 5.569
_cell_angle_alpha 90.00
_cell_angle_beta 90.00
_cell_angle_gamma 90.00
_space_group_name_H-M_alt 'I -4 2 d'
_space_group_IT_number 122
_space_group_name_Hall 'I -4 2bw'
loop_
_atom_site_label
_atom_site_type_symbol
_atom_site_fract_x
_atom_site_fract_y
_atom_site_fract_z
Mg1 Mg 0.238 0.750 0.125
Ta1 Ta 0.000 0.000 0.500
Sb1 Sb 0.000 0.000 0.000
```

***

The following is a DFT calculation (PBE) of a relaxed BaW2Au crystal.

## Properties
As for the energy relative to the elements: 1.4007 eV per atom. As for the relative energy among the computed polymorphs: 887 meV/atom. The size of the total moment comes out at 0.00 μB per formula unit.

Structure (CIF):
```
data_BaW2Au
_chemical_formula_sum 'Ba2 W4 Au2'
_cell_length_a 5.805
_cell_length_b 10.535
_cell_length_c 2.816
_cell_angle_alpha 90.00
_cell_angle_beta 90.00
_cell_angle_gamma 90.00
_space_group_name_H-M_alt 'C m m m'
_space_group_IT_number 65
_space_group_name_Hall '-C 2 2'
loop_
_atom_site_label
_atom_site_type_symbol
_atom_site_fract_x
_atom_site_fract_y
_atom_site_fract_z
Ba1 Ba 0.000 0.000 0.000
W1 W 0.250 0.250 0.500
Au1 Au 0.000 0.500 0.000
```

***

The following is a DFT calculation (PBE) of a relaxed Li3ZnRh2 crystal.

## Properties
As for the energy relative to the elements: -0.2548 eV per atom. As for the relative energy among the computed polymorphs: 0 meV/atom. The size of the total moment comes out at 0.00 μB per formula unit.

Structure (CIF):
```
data_Li3ZnRh2
_chemical_formula_sum 'Li12 Zn4 Rh8'
_cell_length_a 5.498
_cell_length_b 7.286
_cell_length_c 8.607
_cell_angle_alpha 90.00
_cell_angle_beta 108.53
_cell_angle_gamma 90.00
_space_group_name_H-M_alt 'C 1 2/c 1'
_space_group_IT_number 15
_space_group_name_Hall '-C 2yc'
loop_
_atom_site_label
_atom_site_type_symbol
_atom_site_fract_x
_atom_site_fract_y
_atom_site_fract_z
Li1 Li 0.000 0.125 0.250
Li2 Li 0.169 0.125 0.588
Zn1 Zn 0.000 0.375 0.750
Rh1 Rh 0.162 0.375 0.074
```